Density functional theory data (GGA-PBE) for a relaxed YCu3Sb crystal.

a = 4.8075 Å, b = 4.8075 Å, c = 4.8075 Å
α = 90.00°, β = 90.00°, γ = 90.00°
With the nearest neighbours (Å) after each atom.
Space group Pm-3m (No. 221)
Asymmetric unit:
Y  0.0000  0.0000  0.0000 (multiplicity 1)  12 Cu 3.40
Cu  0.0000  0.5000  0.5000 (multiplicity 3)  2 Sb 2.40
Sb  0.5000  0.5000  0.5000 (multiplicity 1)  6 Cu 2.40

Properties
**Energy relative to the lowest polymorph listed for this composition**: 0 kJ/mol of formula units